--- A ---
Here is a relaxed MgTcAu2 crystal from the Alexandria database. Energies are from PBE.

Structure (extended XYZ):
```
4
Lattice="4.1024 0.0000 0.0000 0.0000 2.7928 0.0164 0.0000 2.7803 5.9018" Properties=species:S:1:pos:R:3 pbc="T T T"
Tc 2.0512 4.1798 4.4387
Mg 2.0512 1.3933 1.4796
Au 0.0000 2.7879 2.9920
Au 0.0000 2.7790 5.8690
```

Output
- space group = P2/m, No. 10
- V (Å³ per cell) = 67.4


--- B ---
Here is a relaxed MgTcAu2 crystal from the Alexandria database. Energies are from PBE.

Structure (extended XYZ):
```
4
Lattice="4.1697 0.6242 1.9041 0.3504 1.5538 4.3434 1.4563 -2.8289 3.3583" Properties=species:S:1:pos:R:3 pbc="T T T"
Au 4.4823 -0.4882 7.2043
Au 1.4941 -0.1627 2.4014
Mg 0.0000 0.0000 0.0000
Tc 2.9882 -0.3255 4.8029
```

Output
- space group = Fm-3m, No. 225
- V (Å³ per cell) = 70.0


Name the most stable of them. A.


--- A ---
Here is a relaxed MgTe2Au2 crystal from the Alexandria database. Energies are from PBE.

Structure (extended XYZ):
```
10
Lattice="-1.3674 -5.5030 5.4567 7.7368 -1.2897 0.6382 0.2307 2.8198 2.9015" Properties=species:S:1:pos:R:3 pbc="T T T"
Mg 3.1847 -3.3963 3.0474
Mg 0.0000 0.0000 0.0000
Te 2.1144 -1.4566 1.2474
Te 0.5434 -4.0601 3.9026
Te 4.2549 -5.3361 4.8475
Te 5.8259 -2.7325 2.1923
Au 4.7748 -0.0787 2.5269
Au 6.0376 -3.1546 5.4158
Au 1.8252 -3.8943 6.4695
Au 0.5624 -0.8183 3.5806
```

Output
- space group = P4/mbm, No. 127
- V (Å³ per cell) = 251.0


--- B ---
Here is a relaxed MgTe2Au2 crystal from the Alexandria database. Energies are from PBE.

Structure (extended XYZ):
```
10
Lattice="7.6149 0.0000 0.0000 0.0000 7.6149 0.0000 0.0000 0.0000 4.0545" Properties=species:S:1:pos:R:3 pbc="T T T"
Te 2.3873 1.4201 2.0273
Te 1.4201 5.2276 2.0273
Te 6.1947 2.3873 2.0273
Te 5.2276 6.1947 2.0273
Mg 0.0000 0.0000 0.0000
Mg 3.8074 3.8074 0.0000
Au 0.9850 2.8225 0.0000
Au 6.6299 4.7924 0.0000
Au 2.8225 6.6299 0.0000
Au 4.7924 0.9850 0.0000
```

Output
- space group = P4/mbm, No. 127
- V (Å³ per cell) = 235.1


Name the most stable of them. B.


--- A ---
Here is a relaxed ThMg2Au2 crystal from the Alexandria database. Energies are from PBE.

Structure (extended XYZ):
```
10
Lattice="4.8697 0.0000 0.0000 0.0000 5.2077 -1.0171 0.0000 -1.9529 9.2995" Properties=species:S:1:pos:R:3 pbc="T T T"
Mg 1.2174 3.1727 5.4060
Mg 1.2174 4.5737 -0.6695
Mg 3.6523 -1.3189 8.9519
Mg 3.6523 0.0821 2.8764
Au 1.2174 -0.1082 8.2737
Au 1.2174 0.4458 4.2296
Au 3.6523 2.8089 4.0528
Au 3.6523 3.3629 0.0087
Th 3.6523 0.5807 6.2245
Th 1.2174 2.6740 2.0579
```

Output
- space group = P2_1/m, No. 11
- V (Å³ per cell) = 226.2


--- B ---
Here is a relaxed ThMg2Au2 crystal from the Alexandria database. Energies are from PBE.

Structure (extended XYZ):
```
5
Lattice="-2.7995 -3.0034 0.7453 3.0381 -2.4765 1.4318 -1.0313 5.0707 4.8781" Properties=species:S:1:pos:R:3 pbc="T T T"
Mg -1.8557 -0.3364 3.3560
Mg 1.0631 -0.0729 3.6992
Au -0.7139 1.8245 4.6707
Au -0.0788 -2.2338 2.3845
Th 0.0000 0.0000 0.0000
```

Output
- space group = I4/mmm, No. 139
- V (Å³ per cell) = 112.7


Name the most stable of them. B.


--- A ---
Here is a relaxed ThMgAu4 crystal from the Alexandria database. Energies are from PBE.

Structure (extended XYZ):
```
6
Lattice="-5.0007 1.5445 -2.0967 -1.3623 -1.3257 -5.3080 -3.9567 -3.8881 -1.0078" Properties=species:S:1:pos:R:3 pbc="T T T"
Th -2.5799 -0.9173 -2.1031
Mg 0.0000 0.0000 0.0000
Au -4.4675 -0.3407 -4.7570
Au -3.9425 -3.0726 -4.2095
Au -5.7722 -1.6293 -2.5946
Au -6.4572 -2.2959 -5.2638
```

Output
- space group = F-43m, No. 216
- V (Å³ per cell) = 126.7


--- B ---
Here is a relaxed ThMgAu4 crystal from the Alexandria database. Energies are from PBE.

Structure (extended XYZ):
```
12
Lattice="4.4990 0.0000 -0.0396 0.0000 7.6991 0.0000 -2.1962 0.0000 7.4158" Properties=species:S:1:pos:R:3 pbc="T T T"
Au 0.0354 7.4480 5.1725
Au 2.2510 5.7743 0.2510
Au 0.0000 0.0000 0.0000
Au 2.2674 0.2511 2.2038
Au 0.0518 1.9248 7.1252
Au 0.0354 4.1007 5.1725
Au 2.2674 3.5984 2.2038
Au 0.0000 3.8496 0.0000
Th 0.0212 5.7743 2.5819
Th 2.2816 1.9248 4.7944
Mg 0.0141 1.9248 2.0316
Mg 2.2887 5.7743 5.3447
```

Output
- space group = P2_1/m, No. 11
- V (Å³ per cell) = 256.2


Name the most stable of them. B.


--- A ---
Here is a relaxed Mg2TiAu crystal from the Alexandria database. Energies are from PBE.

Structure (extended XYZ):
```
4
Lattice="4.2698 0.0000 0.0000 0.0000 4.1447 0.0000 0.0000 0.0000 4.1447" Properties=species:S:1:pos:R:3 pbc="T T T"
Au 2.1349 0.0000 0.0000
Ti 2.1349 2.0723 2.0723
Mg 0.0000 2.0723 0.0000
Mg 0.0000 0.0000 2.0723
```

Output
- space group = P4/mmm, No. 123
- V (Å³ per cell) = 73.3


--- B ---
Here is a relaxed Mg2TiAu crystal from the Alexandria database. Energies are from PBE.

Structure (extended XYZ):
```
8
Lattice="7.6299 0.0000 0.0000 0.0000 7.6299 0.0000 3.8150 3.8150 2.8140" Properties=species:S:1:pos:R:3 pbc="T T T"
Mg 1.6590 5.7224 0.7035
Mg 5.7224 5.4740 2.1105
Mg 5.9709 1.9075 0.7035
Mg 9.5374 9.7859 2.1105
Au 7.6299 3.8150 1.4070
Au 0.0000 0.0000 0.0000
Ti 3.8150 7.6299 1.4070
Ti 3.8150 3.8150 0.0000
```

Output
- space group = I-42d, No. 122
- V (Å³ per cell) = 163.8


Name the most stable of them. A.


--- A ---
Here is a relaxed MgTi3Au crystal from the Alexandria database. Energies are from PBE.

Structure (extended XYZ):
```
5
Lattice="-1.5779 -4.4174 0.2453 3.2126 -0.9649 3.2882 -3.0419 1.2723 3.3454" Properties=species:S:1:pos:R:3 pbc="T T T"
Au -0.7036 -2.0550 3.4394
Ti -0.7889 -2.2087 0.1227
Ti -1.5210 0.6362 1.6727
Ti 1.6063 -0.4825 1.6441
Mg 0.0000 0.0000 0.0000
```

Output
- space group = Pm-3m, No. 221
- V (Å³ per cell) = 103.6


--- B ---
Here is a relaxed MgTi3Au crystal from the Alexandria database. Energies are from PBE.

Structure (extended XYZ):
```
5
Lattice="4.9304 0.0000 0.0000 0.0000 4.9304 0.0000 0.0000 0.0000 4.9304" Properties=species:S:1:pos:R:3 pbc="T T T"
Mg 2.4652 2.4652 2.4652
Au 0.0000 0.0000 0.0000
Ti 0.0000 0.0000 2.4652
Ti 0.0000 2.4652 0.0000
Ti 2.4652 0.0000 0.0000
```

Output
- space group = Pm-3m, No. 221
- V (Å³ per cell) = 119.9


Name the most stable of them. B.